Record 1
Entry from Alexandria via LeMat-Bulk: a relaxed structure of TiRhF2 (GGA-PBE).

```
16
Lattice="5.788 0.000 0.000 0.000 5.788 0.000 0.000 0.000 5.788" Properties=species:S:1:pos:R:3 pbc="T T T"
Ti 0.000 0.000 0.000
Ti 0.000 2.894 2.894
Ti 2.894 0.000 2.894
Ti 2.894 2.894 0.000
Rh 0.000 0.000 2.894
Rh 0.000 2.894 0.000
Rh 2.894 0.000 0.000
Rh 2.894 2.894 2.894
F 1.447 1.447 1.447
F 1.447 1.447 4.341
F 1.447 4.341 1.447
F 1.447 4.341 4.341
F 4.341 1.447 1.447
F 4.341 1.447 4.341
F 4.341 4.341 1.447
F 4.341 4.341 4.341
```

Values from the calculation:
Fermi-level density of states ... 1.48 states/eV/atom
Magnetization ... 1.0 Bohr magnetons per cell
Formation energy without anion corrections ... -786 meV/atom
Energy relative to the lowest polymorph listed for this composition ... 0.791 eV per atom

---

Record 2
Entry from Alexandria via LeMat-Bulk: a relaxed structure of Ti3RhF (GGA-PBE).

```
5
Lattice="4.776 0.000 0.000 0.000 4.776 0.000 0.000 0.000 4.776" Properties=species:S:1:pos:R:3 pbc="T T T"
Ti 0.000 0.000 2.388
Ti 0.000 2.388 0.000
Ti 2.388 0.000 0.000
Rh 0.000 0.000 0.000
F 2.388 2.388 2.388
```

Values from the calculation:
Fermi-level density of states ... 0.91 states/eV/atom
Magnetization ... 2.1 Bohr magnetons per cell
Formation energy without anion corrections ... 179 meV/atom
Energy relative to the lowest polymorph listed for this composition ... 0.915 eV per atom

---

Record 3
Entry from Alexandria via LeMat-Bulk: a relaxed structure of TiRhF2 (GGA-PBE).

```
16
Lattice="3.687 0.000 0.000 0.000 3.687 0.000 0.000 0.000 14.776" Properties=species:S:1:pos:R:3 pbc="T T T"
Ti 0.000 0.000 0.000
Ti 0.000 1.843 3.694
Ti 1.843 0.000 11.082
Ti 1.843 1.843 7.388
Rh 0.000 0.000 7.388
Rh 0.000 1.843 11.082
Rh 1.843 0.000 3.694
Rh 1.843 1.843 0.000
F 0.770 0.922 1.847
F 0.922 2.614 5.541
F 0.922 2.917 12.929
F 1.073 0.922 9.235
F 2.614 2.765 9.235
F 2.765 0.770 12.929
F 2.765 1.073 5.541
F 2.917 2.765 1.847
```

Values from the calculation:
Fermi-level density of states ... 0.73 states/eV/atom
Magnetization ... 0.0 Bohr magnetons per cell
Formation energy without anion corrections ... -1356 meV/atom
Energy relative to the lowest polymorph listed for this composition ... 0.220 eV per atom

---

Record 4
Entry from Alexandria via LeMat-Bulk: a relaxed structure of TiRhF3 (GGA-PBE).

```
5
Lattice="4.240 0.000 0.000 0.000 4.240 0.000 0.000 0.000 4.240" Properties=species:S:1:pos:R:3 pbc="T T T"
Ti 0.000 0.000 0.000
Rh 2.120 2.120 2.120
F 0.000 2.120 2.120
F 2.120 0.000 2.120
F 2.120 2.120 0.000
```

Values from the calculation:
Fermi-level density of states ... 2.90 states/eV/atom
Magnetization ... 0.3 Bohr magnetons per cell
Formation energy without anion corrections ... -654 meV/atom
Energy relative to the lowest polymorph listed for this composition ... 0.929 eV per atom

---

Record 5
Entry from Alexandria via LeMat-Bulk: a relaxed structure of Ti2Rh2F (GGA-PBE).

```
10
Lattice="7.046 0.000 0.000 0.000 7.046 0.000 0.000 0.000 3.081" Properties=species:S:1:pos:R:3 pbc="T T T"
Ti 1.166 2.357 0.000
Ti 2.357 5.880 0.000
Ti 4.689 1.166 0.000
Ti 5.880 4.689 0.000
Rh 0.950 4.472 1.540
Rh 2.573 0.950 1.540
Rh 4.472 6.096 1.540
Rh 6.096 2.573 1.540
F 0.000 0.000 0.000
F 3.523 3.523 0.000
```

Values from the calculation:
Fermi-level density of states ... 1.03 states/eV/atom
Magnetization ... 0.0 Bohr magnetons per cell
Formation energy without anion corrections ... -797 meV/atom
Energy relative to the lowest polymorph listed for this composition ... 0.000 eV per atom

---

Record 6
Entry from Alexandria via LeMat-Bulk: a relaxed structure of TiRh2F (GGA-PBE).

```
16
Lattice="6.023 0.000 0.000 0.000 6.023 0.000 0.000 0.000 6.023" Properties=species:S:1:pos:R:3 pbc="T T T"
Ti 0.000 0.000 0.000
Ti 0.000 3.011 3.011
Ti 3.011 0.000 3.011
Ti 3.011 3.011 0.000
Rh 1.506 1.506 1.506
Rh 1.506 1.506 4.517
Rh 1.506 4.517 1.506
Rh 1.506 4.517 4.517
Rh 4.517 1.506 1.506
Rh 4.517 1.506 4.517
Rh 4.517 4.517 1.506
Rh 4.517 4.517 4.517
F 0.000 0.000 3.011
F 0.000 3.011 0.000
F 3.011 0.000 0.000
F 3.011 3.011 3.011
```

Values from the calculation:
Fermi-level density of states ... 0.60 states/eV/atom
Magnetization ... 0.0 Bohr magnetons per cell
Formation energy without anion corrections ... -456 meV/atom
Energy relative to the lowest polymorph listed for this composition ... 0.000 eV per atom

---

Record 7
Entry from Alexandria via LeMat-Bulk: a relaxed structure of Tl3RhF7 (GGA-PBE).

```
11
Lattice="4.396 -4.168 0.000 4.396 4.168 0.000 -3.563 0.000 6.013" Properties=species:S:1:pos:R:3 pbc="T T T"
Tl 0.000 0.000 0.000
Tl 2.629 2.028 3.113
Tl 2.629 -2.028 3.113
Rh 4.355 0.000 0.227
F -0.922 0.000 2.202
F 0.248 1.425 5.000
F 2.577 0.000 1.080
F 4.866 1.416 1.502
F 0.248 -1.425 5.000
F 2.560 0.000 5.400
F 4.866 -1.416 1.502
```

Values from the calculation:
Fermi-level density of states ... 0.77 states/eV/atom
Magnetization ... 1.1 Bohr magnetons per cell
Formation energy without anion corrections ... -1746 meV/atom

---

Record 8
Entry from Alexandria via LeMat-Bulk: a relaxed structure of Tl3RhF (GGA-PBE).

```
5
Lattice="5.264 0.000 0.000 0.000 5.264 0.000 0.000 0.000 5.264" Properties=species:S:1:pos:R:3 pbc="T T T"
Tl 0.000 0.000 2.632
Tl 0.000 2.632 0.000
Tl 2.632 0.000 0.000
Rh 0.000 0.000 0.000
F 2.632 2.632 2.632
```

Values from the calculation:
Fermi-level density of states ... 0.34 states/eV/atom
Magnetization ... 0.0 Bohr magnetons per cell
Formation energy without anion corrections ... -516 meV/atom
Energy relative to the lowest polymorph listed for this composition ... 0.000 eV per atom

---

Record 9
Entry from Alexandria via LeMat-Bulk: a relaxed structure of Tl3RhF (GGA-PBE).

```
5
Lattice="4.999 0.000 0.000 0.000 4.999 0.000 0.000 0.000 4.999" Properties=species:S:1:pos:R:3 pbc="T T T"
Tl 0.000 0.000 2.499
Tl 0.000 2.499 0.000
Tl 2.499 0.000 0.000
Rh 2.499 2.499 2.499
F 0.000 0.000 0.000
```

Values from the calculation:
Fermi-level density of states ... 0.86 states/eV/atom
Magnetization ... 0.6 Bohr magnetons per cell
Formation energy without anion corrections ... -76 meV/atom
Energy relative to the lowest polymorph listed for this composition ... 0.439 eV per atom

---

Record 10
Entry from Alexandria via LeMat-Bulk: a relaxed structure of Tl5Rh2F12 (GGA-PBE).

```
19
Lattice="7.362 -3.175 0.000 7.362 3.175 0.000 -2.473 0.000 8.402" Properties=species:S:1:pos:R:3 pbc="T T T"
Tl 0.000 0.000 0.000
Tl 2.703 0.000 5.652
Tl 4.092 0.000 1.085
Tl 8.160 0.000 7.316
Tl 9.549 0.000 2.750
Rh 6.126 1.592 4.201
Rh 6.126 -1.592 4.201
F -0.852 0.000 2.965
F 2.639 1.599 7.852
F 4.228 1.580 3.596
F 8.024 1.580 4.806
F 9.613 1.599 0.550
F 5.750 0.000 5.433
F 6.502 0.000 2.969
F 2.639 -1.599 7.852
F 4.228 -1.580 3.596
F 8.024 -1.580 4.806
F 9.613 -1.599 0.550
F 13.104 0.000 5.436
```

Values from the calculation:
Fermi-level density of states ... 0.39 states/eV/atom
Magnetization ... 0.0 Bohr magnetons per cell
Formation energy without anion corrections ... -1655 meV/atom

---

Record 11
Entry from Alexandria via LeMat-Bulk: a relaxed structure of Tl2RhF5 (GGA-PBE).

```
8
Lattice="6.313 0.000 0.000 0.000 6.313 0.000 0.000 0.000 4.069" Properties=species:S:1:pos:R:3 pbc="T T T"
Tl 0.000 3.156 0.000
Tl 3.156 0.000 0.000
Rh 0.000 0.000 2.034
F 0.000 0.000 0.000
F 1.419 1.419 2.034
F 1.419 4.894 2.034
F 4.894 1.419 2.034
F 4.894 4.894 2.034
```

Values from the calculation:
Fermi-level density of states ... 0.76 states/eV/atom
Magnetization ... 0.3 Bohr magnetons per cell
Formation energy without anion corrections ... -1681 meV/atom
Energy relative to the lowest polymorph listed for this composition ... 0.000 eV per atom

---

Record 12
Entry from Alexandria via LeMat-Bulk: a relaxed structure of Tl5RhF8 (GGA-PBE).

```
14
Lattice="-3.956 3.956 4.965 3.956 -3.956 4.965 3.956 3.956 -4.965" Properties=species:S:1:pos:R:3 pbc="T T T"
Tl 0.000 0.000 0.000
Tl 3.485 1.958 -1.197
Tl 1.999 -0.471 6.162
Tl 0.471 1.999 3.768
Tl 1.958 4.428 1.197
Rh 3.956 0.000 2.482
F 4.448 -1.864 2.500
F 2.092 -0.492 2.464
F 5.821 0.492 2.464
F 0.333 2.424 1.295
F 3.465 1.864 2.500
F -0.333 5.489 1.295
F -1.532 3.623 3.670
F 1.532 4.290 3.670
```

Values from the calculation:
Fermi-level density of states ... 0.52 states/eV/atom
Magnetization ... 2.0 Bohr magnetons per cell
Formation energy without anion corrections ... -1640 meV/atom